1.
BeSb2TeN: optimized geometry, PBE.

Results
The calculation puts the volume at 104.3 Å³ per cell. The calculation puts the final energy at -0.1365 hartree per atom. Its formation energy without anion corrections is 94 kJ per mole of atoms.

POSCAR file:
```
BeSb2TeN
1.0
4.7622 0.0000 0.0000
0.0000 4.7622 0.0000
0.0000 0.0000 4.5986
Sb N Be Te
2 1 1 1
direct
0.0000 0.5000 0.0000
0.5000 0.0000 0.0000
0.0000 0.0000 0.0000
0.5000 0.5000 0.5000
0.0000 0.0000 0.5000
```

---

2.
BeSbTe2N: optimized geometry, PBE.

Results
The calculation puts the volume at 105.1 Å³ per cell. The calculation puts the final energy at -0.1274 hartree per atom. Its formation energy without anion corrections is 99 kJ per mole of atoms.

POSCAR file:
```
BeSbTe2N
1.0
-1.4145 4.2371 -1.3452
-3.2677 -0.0339 3.3293
3.1215 2.0212 3.0843
Te N Be Sb
2 1 1 1
direct
0.5000 0.0000 0.0000
0.0000 0.5000 0.0000
0.0000 0.0000 0.0000
0.5000 0.5000 0.5000
0.0000 0.0000 0.5000
```

---

3.
BeSbTe2N: optimized geometry, PBE.

Results
The calculation puts the volume at 107.0 Å³ per cell. The calculation puts the final energy at -0.1509 hartree per atom. Its formation energy without anion corrections is 37 kJ per mole of atoms.

POSCAR file:
```
BeSbTe2N
1.0
5.8754 0.0000 0.0000
0.0000 3.0997 0.0000
0.0000 0.0000 5.8754
Te N Sb Be
2 1 1 1
direct
0.0000 0.0000 0.5000
0.5000 0.0000 0.0000
0.0000 0.5000 0.0000
0.5000 0.5000 0.5000
0.0000 0.0000 0.0000
```

---

4.
BeSbTe2N: optimized geometry, PBE.

Results
The calculation puts the volume at 131.4 Å³ per cell. The calculation puts the final energy at -0.1195 hartree per atom. Its formation energy without anion corrections is 120 kJ per mole of atoms.

POSCAR file:
```
BeSbTe2N
1.0
5.8161 0.0000 0.0000
0.0000 5.8161 0.0000
0.0000 0.0000 3.8832
Be N Te Sb
1 1 2 1
direct
0.5000 0.5000 0.5000
0.0000 0.0000 0.5000
0.0000 0.5000 0.0000
0.5000 0.0000 0.0000
0.0000 0.0000 0.0000
```

---

5.
Y2BeSbN: optimized geometry, PBE.

Results
The calculation puts the volume at 91.8 Å³ per cell. The calculation puts the final energy at -0.2429 hartree per atom. Its formation energy without anion corrections is -76 kJ per mole of atoms.

POSCAR file:
```
Y2BeSbN
1.0
-3.7708 0.9830 3.4351
-1.5111 -4.9644 -0.2382
2.1210 -0.7679 2.5480
Y Be Sb N
2 1 1 1
direct
0.0000 0.5000 0.0000
0.5000 0.0000 0.0000
0.0000 0.0000 0.5000
0.5000 0.5000 0.5000
0.0000 0.0000 0.0000
```

---

6.
Sc2BeN: optimized geometry, PBE.

Results
The calculation puts the volume at 86.0 Å³ per cell. The calculation puts the final energy at -0.2193 hartree per atom. Its formation energy without anion corrections is 20 kJ per mole of atoms.

POSCAR file:
```
Sc2BeN
1.0
2.1300 0.0000 7.2928
-1.0650 1.8446 7.2928
-1.0650 -1.8446 7.2928
Sc N Be
2 1 1
direct
0.9155 0.9155 0.9155
0.0845 0.0845 0.0845
0.0000 0.0000 0.0000
0.5000 0.5000 0.5000
```

---

7.
ScBeN3: optimized geometry, PBE.

Results
The calculation puts the volume at 66.4 Å³ per cell. The calculation puts the final energy at -0.2012 hartree per atom. Its formation energy without anion corrections is 148 kJ per mole of atoms.

POSCAR file:
```
ScBeN3
1.0
4.0501 0.0000 0.0000
0.0000 4.0501 0.0000
0.0000 0.0000 4.0501
Be Sc N
1 1 3
direct
0.5000 0.5000 0.5000
0.0000 0.0000 0.0000
0.0000 0.5000 0.0000
0.0000 0.0000 0.5000
0.5000 0.0000 0.0000
```

---

8.
ScBeN2: optimized geometry, PBE.

Results
The calculation puts the volume at 45.1 Å³ per cell. The calculation puts the final energy at -0.2268 hartree per atom. Its formation energy without anion corrections is 49 kJ per mole of atoms.

POSCAR file:
```
ScBeN2
1.0
-0.0843 2.5672 5.2326
2.0852 0.4134 5.4276
2.7161 3.1085 4.1155
N Be Sc
2 1 1
direct
0.8813 0.8813 0.8813
0.1187 0.1187 0.1187
0.5000 0.5000 0.5000
0.0000 0.0000 0.0000
```

---

Which value of final energy does entry 8 give?
-0.2268 hartree per atom